Entry 1:
An optimized crystal structure of CsSn2As2. Source: Alexandria via LeMat-Bulk, functional GGA-PBE.

Summary:
The formation energy from the elements comes out at -0.19 eV/atom.

Cell lengths 9.3997, 11.9448, 7.4476 Å; angles 90.00, 119.90, 90.00 degrees
Space group C2/c (No. 15)
Symmetry-distinct sites (fractional):
Cs 0.0000 0.1255 0.2500
Sn 0.1567 0.3856 0.0170
As 0.0000 0.2104 0.7500
As 0.0000 0.4303 0.2500

---

Entry 2:
An optimized crystal structure of B5C7. Source: Alexandria via LeMat-Bulk, functional GGA-PBE.

Summary:
Its energy above the most stable polymorph in this dataset is 128 meV/atom. The formation energy from the elements comes out at 0.39 eV/atom.

Cell lengths 4.4796, 2.4983, 6.9482 Å; angles 90.00, 90.79, 90.00 degrees
Space group Pm (No. 6)
Symmetry-distinct sites (fractional):
B 0.0000 0.0000 0.0000
B 0.0257 0.0000 0.2414
B 0.3625 0.0000 0.3822
B 0.4946 0.5000 0.2200
B 0.8232 0.5000 0.3845
C 0.1809 0.5000 0.6841
C 0.1942 0.5000 0.9018
C 0.3488 0.0000 0.6084
C 0.5057 0.5000 0.9893
C 0.6703 0.0000 0.9136
C 0.6777 0.0000 0.6923
C 0.8403 0.5000 0.6145

---

Entry 3:
An optimized crystal structure of BaAc4Sn3O12. Source: Alexandria via LeMat-Bulk, functional GGA-PBE.

Summary:
Its total energy is -6.800 eV per atom.

Cell lengths 9.0523, 9.0523, 9.0523 Å; angles 90.00, 90.00, 90.00 degrees
Space group Im-3 (No. 204)
Symmetry-distinct sites (fractional):
Ba 0.0000 0.0000 0.0000
Ac 0.2500 0.2500 0.2500
Sn 0.0000 0.0000 0.5000
O 0.0000 0.1563 0.3243

---

Entry 4:
An optimized crystal structure of FeSe3. Source: Alexandria via LeMat-Bulk, functional GGA-PBE.

Summary:
Its total energy is -4.152 eV per atom.

Cell lengths 4.6770, 4.6770, 6.6488 Å; angles 90.00, 90.00, 90.00 degrees
Space group I4/mmm (No. 139)
Symmetry-distinct sites (fractional):
Fe 0.0000 0.0000 0.0000
Se 0.0000 0.0000 0.5000
Se 0.0000 0.5000 0.2500

---

Entry 5:
An optimized crystal structure of Y2CF. Source: Alexandria via LeMat-Bulk, functional GGA-PBE.

Summary:
Its energy above the most stable polymorph in this dataset is 104 meV/atom.

Cell lengths 3.5433, 3.5433, 18.9044 Å; angles 90.00, 90.00, 120.00 degrees
Space group R3m (No. 160, hexagonal axes)
Symmetry-distinct sites (fractional):
Y 0.0000 0.0000 0.0000
Y 0.0000 0.0000 0.1946
C 0.0000 0.0000 0.5960
F 0.0000 0.0000 0.7690

---

Entry 6:
An optimized crystal structure of Sc2CrHg. Source: Alexandria via LeMat-Bulk, functional GGA-PBE.

Summary:
The formation energy from the elements comes out at 0.26 eV/atom.

Cell lengths 3.2419, 3.2419, 28.7221 Å; angles 90.00, 90.00, 120.00 degrees
Space group R3m (No. 160, hexagonal axes)
Symmetry-distinct sites (fractional):
Sc 0.0000 0.0000 0.0000
Sc 0.0000 0.0000 0.2416
Cr 0.0000 0.0000 0.4951
Hg 0.0000 0.0000 0.7513

---

Entry 7:
An optimized crystal structure of CdTe2WCl. Source: Alexandria via LeMat-Bulk, functional GGA-PBE.

Summary:
Its total energy is -4.124 eV per atom.

Cell lengths 5.1538, 5.1538, 5.5875 Å; angles 90.00, 90.00, 90.00 degrees
Space group P4/mmm (No. 123)
Symmetry-distinct sites (fractional):
Cd 0.0000 0.0000 0.0000
Te 0.0000 0.5000 0.5000
W 0.0000 0.0000 0.5000
Cl 0.5000 0.5000 0.0000

---

Entry 8:
An optimized crystal structure of Sr3LiAu3. Source: Alexandria via LeMat-Bulk, functional GGA-PBE.

Summary:
The formation energy from the elements comes out at -0.68 eV/atom.

Cell lengths 11.8225, 4.4688, 15.8937 Å; angles 90.00, 110.16, 90.00 degrees
Space group C2/m (No. 12)
Symmetry-distinct sites (fractional):
Sr 0.0275 0.0000 0.3851
Sr 0.1011 0.0000 0.9216
Sr 0.2445 0.0000 0.2309
Li 0.2371 0.5000 0.4133
Au 0.0407 0.5000 0.2391
Au 0.1162 0.5000 0.0787
Au 0.1345 0.5000 0.5476

---

Entry 9:
An optimized crystal structure of SmDyTe2. Source: Alexandria via LeMat-Bulk, functional GGA-PBE.

Summary:
Its energy above the most stable polymorph in this dataset is 26 meV/atom.

Cell lengths 7.5817, 4.4153, 7.6374 Å; angles 90.00, 109.70, 90.00 degrees
Space group C2/m (No. 12)
Symmetry-distinct sites (fractional):
Sm 0.0000 0.0000 0.0000
Dy 0.0000 0.5000 0.5000
Te 0.2474 0.0000 0.7421

---

Entry 10:
An optimized crystal structure of TcGeSbI2. Source: Alexandria via LeMat-Bulk, functional GGA-PBE.

Summary:
Its energy above the most stable polymorph in this dataset is 375 meV/atom.

Cell lengths 5.5567, 5.5567, 5.6584 Å; angles 90.00, 90.00, 90.00 degrees
Space group P4/mmm (No. 123)
Symmetry-distinct sites (fractional):
Tc 0.0000 0.0000 0.0000
Ge 0.5000 0.5000 0.5000
Sb 0.5000 0.5000 0.0000
I 0.0000 0.5000 0.5000

---

Entry 11:
An optimized crystal structure of KSn4P3O12. Source: Alexandria via LeMat-Bulk, functional GGA-PBE.

Summary:
Its total energy is -6.589 eV per atom.

Cell lengths 10.0763, 10.0763, 25.2147 Å; angles 90.00, 90.00, 120.00 degrees
Space group R3c (No. 161, hexagonal axes)
Symmetry-distinct sites (fractional):
K 0.0000 0.0000 0.0000
Sn 0.0000 0.0000 0.3518
Sn 0.0711 0.4919 0.3805
P 0.1369 0.3382 0.5847
O 0.0047 0.1731 0.9030
O 0.0437 0.4491 0.7093
O 0.1160 0.4129 0.2539
O 0.1388 0.3468 0.1404